(1)
DFT (PBE) results for a relaxed structure of Rb2PHBr6.

Cell lengths 7.032, 7.032, 7.675 Å; angles 62.74, 62.74, 90.00 degrees
Fractional coordinates of all 10 atoms:
P 0.000 0.000 0.000
Br 0.218 0.218 0.565
Br 0.782 0.782 0.435
Br 0.256 0.256 0.000
Br 0.744 0.744 0.000
Br 0.744 0.256 0.000
Br 0.256 0.744 0.000
Rb 0.750 0.250 0.500
Rb 0.250 0.750 0.500
H 0.500 0.500 0.000

## Properties
* space-group type: I4/mmm


(2)
DFT (PBE) results for a relaxed structure of PH2RuBr.

Cell lengths 3.576, 3.545, 6.620 Å; angles 81.88, 89.69, 89.98 degrees
Fractional coordinates of all 5 atoms:
P 0.261 0.534 0.327
H 0.262 0.817 0.150
H 0.759 0.896 0.460
Ru 0.759 0.414 0.517
Br 0.256 0.346 0.811

## Properties
* space-group type: P1


(3)
DFT (PBE) results for a relaxed structure of PH2RuBr.

Cell lengths 3.461, 4.489, 7.342 Å; angles 107.30, 103.51, 90.10 degrees
Fractional coordinates of all 5 atoms:
P 0.455 0.562 0.927
H 0.794 0.979 0.594
H 0.786 0.821 0.610
Ru 0.050 0.656 0.118
Br 0.127 0.232 0.275

## Properties
* space-group type: P1


(4)
DFT (PBE) results for a relaxed structure of PH2RuBr.

Cell lengths 3.515, 4.863, 6.000 Å; angles 66.69, 73.21, 68.90 degrees
Fractional coordinates of all 5 atoms:
P 0.198 0.628 0.254
H 0.913 0.382 0.063
H 0.049 0.980 0.199
Ru 0.798 0.332 0.349
Br 0.339 0.943 0.658

## Properties
* space-group type: P1


no.,calculated density (g cm⁻³),total DFT energy (no corrections) (eV per atom)
1,3.92,-2.714
2,4.28,-4.632
3,3.37,-4.530
4,4.10,-4.587